4
Lattice="1.457 0.841 9.109 -1.457 0.841 9.109 0.000 -1.683 9.109" Properties=species:S:1:pos:R:3 comment="PBE ZrMnPt2, optimized geometry" delta_e_f_ev_per_fu=-1.4 pbc="T T T"
Zr 0.000 0.000 0.000
Mn 0.000 0.000 13.664
Pt 0.000 0.000 6.699
Pt 0.000 0.000 20.629



5
Lattice="4.221 0.000 0.000 0.000 4.221 0.000 0.000 0.000 5.326" Properties=species:S:1:pos:R:3 comment="PBE Sc2SbPdF, optimized geometry" raw_formation_energy_mev_per_atom=-962 pbc="T T T"
Sc 0.000 2.110 0.000
Sc 2.110 0.000 0.000
Sb 0.000 0.000 2.663
Pd 2.110 2.110 2.663
F 0.000 0.000 0.000



5
Lattice="5.392 0.000 0.000 0.000 5.392 0.000 0.000 0.000 5.392" Properties=species:S:1:pos:R:3 comment="PBE ScTe3Se, optimized geometry" raw_formation_energy_mev_per_atom=209 de_polymorph_mev_per_atom=129 pbc="T T T"
Sc 0.000 0.000 0.000
Te 0.000 2.696 2.696
Te 2.696 0.000 2.696
Te 2.696 2.696 0.000
Se 2.696 2.696 2.696



8
Lattice="7.009 0.000 0.000 0.000 4.042 0.000 -2.335 0.000 6.610" Properties=species:S:1:pos:R:3 comment="PBE Pm2PuNpP4, optimized geometry" delta_e_f_ev_per_fu=-10.1 pbc="T T T"
Pm 0.000 0.000 0.000
Pm 3.505 2.021 0.000
Pu -1.168 2.021 3.305
Np 2.337 0.000 3.305
P 0.014 0.000 4.863
P 1.188 2.021 1.743
P 3.486 2.021 4.867
P 4.660 0.000 1.747



11
Lattice="5.304 -5.482 0.000 5.304 5.482 0.000 0.000 0.000 4.388" Properties=species:S:1:pos:R:3 comment="PBE Sr2Ga6Ag3, optimized geometry" delta_e_f_ev_per_fu=-2.7 pbc="T T T"
Sr 5.304 3.043 0.000
Sr 5.304 -3.043 0.000
Ga 1.189 0.000 2.194
Ga 3.171 1.592 2.194
Ga 3.171 -1.592 2.194
Ga 7.438 1.592 2.194
Ga 7.438 -1.592 2.194
Ga 9.420 0.000 2.194
Ag 2.890 0.000 0.000
Ag 5.304 0.000 2.194
Ag 7.718 0.000 0.000



16
Lattice="10.070 0.000 0.000 -5.035 8.721 0.000 0.000 0.000 6.793" Properties=species:S:1:pos:R:3 comment="PBE Ac3Y3Er2, optimized geometry" delta_e_f_ev_per_fu=1.5 pbc="T T T"
Ac -1.175 2.035 1.698
Ac -3.860 6.686 5.095
Ac 2.349 0.000 1.698
Ac 1.175 2.035 5.095
Ac 7.721 0.000 5.095
Ac 3.860 6.686 1.698
Y -2.098 3.633 5.095
Y -2.937 5.088 1.698
Y 4.195 0.000 5.095
Y 2.098 3.633 1.698
Y 5.875 0.000 1.698
Y 2.937 5.088 5.095
Er 0.000 5.814 0.000
Er 0.000 5.814 3.396
Er 5.035 2.907 0.000
Er 5.035 2.907 3.396



Let's list D(E_F) in order: 2.7, 3.9, 3.6, 22.7, 2.8, 38.3 states/eV per cell.